Here is Ba4Si21Au2 after structural relaxation from the Alexandria database. Energies are from PBE.

Lattice parameters (Å, degrees): 10.4402 10.4902 10.4902 89.97 90.00 90.00
Last column: nearest neighbours and their distance in Å.
Element x y z (fractional)
Ba  0.2500  0.5002  0.0000  20 Si 3.33-3.45
Ba  0.7500  0.0000  0.5002  20 Si 3.33-3.45
Ba  0.7500  0.7587  0.0114  12 Si 3.43-3.83, 3 Au 3.65-3.69
Ba  0.2500  0.0114  0.7587  12 Si 3.43-3.83, 3 Au 3.65-3.69
Ba  0.5000  0.4881  0.4881  12 Si 3.43-3.79, 2 Au 3.62
Ba  0.7500  0.2405  0.0118  12 Si 3.44-3.84, 3 Au 3.62-3.68
Ba  0.2500  0.0118  0.2405  12 Si 3.44-3.84, 3 Au 3.62-3.68
Ba  0.0000  0.4881  0.4881  12 Si 3.43-3.79, 2 Au 3.62
Si  0.4340  0.6853  0.8139  4 Si 2.35-2.42
Si  0.0653  0.3181  0.1833  4 Si 2.40-2.42
Si  0.4347  0.3181  0.1833  4 Si 2.40-2.42
Si  0.0660  0.6853  0.8139  4 Si 2.35-2.42
Si  0.0658  0.6857  0.1829  4 Si 2.38-2.41
Si  0.4347  0.3183  0.8130  4 Si 2.38-2.41
Si  0.0653  0.3183  0.8130  4 Si 2.38-2.41
Si  0.4342  0.6857  0.1829  4 Si 2.38-2.41
Si  0.9340  0.8139  0.6853  4 Si 2.35-2.42
Si  0.5653  0.1833  0.3181  4 Si 2.40-2.42
Si  0.9347  0.1833  0.3181  4 Si 2.40-2.42
Si  0.5660  0.8139  0.6853  4 Si 2.35-2.42
Si  0.5658  0.1829  0.6857  4 Si 2.38-2.41
Si  0.9347  0.8130  0.3183  4 Si 2.38-2.41
Si  0.5653  0.8130  0.3183  4 Si 2.38-2.41
Si  0.9342  0.1829  0.6857  4 Si 2.38-2.41
Si  0.5565  0.5011  0.8806  4 Si 2.41-2.48
Si  0.3672  0.8044  0.9984  3 Si 2.40-2.45, 1 Au 2.49
Si  0.2500  0.6178  0.6924  4 Si 2.41-2.45
Si  0.9445  0.5013  0.1170  3 Si 2.40-2.48, 1 Au 2.46
Si  0.1315  0.1997  0.9983  3 Si 2.41-2.47, 1 Au 2.49
Si  0.2500  0.3818  0.3043  3 Si 2.40-2.50, 1 Au 2.47
Si  0.5555  0.5013  0.1170  3 Si 2.40-2.48, 1 Au 2.46
Si  0.3685  0.1997  0.9983  3 Si 2.41-2.47, 1 Au 2.49
Si  0.9435  0.5011  0.8806  4 Si 2.41-2.48
Si  0.1328  0.8044  0.9984  3 Si 2.40-2.45, 1 Au 2.49
Si  0.2500  0.6200  0.3049  4 Si 2.41-2.50
Si  0.2500  0.3838  0.6923  3 Si 2.41-2.45, 1 Au 2.47
Si  0.0565  0.8806  0.5011  4 Si 2.41-2.48
Si  0.8672  0.9984  0.8044  3 Si 2.40-2.45, 1 Au 2.49
Si  0.7500  0.6924  0.6178  4 Si 2.41-2.45
Si  0.4445  0.1170  0.5013  3 Si 2.40-2.48, 1 Au 2.46
Si  0.6315  0.9983  0.1997  3 Si 2.41-2.47, 1 Au 2.49
Si  0.7500  0.3043  0.3818  3 Si 2.40-2.50, 1 Au 2.47
Si  0.0555  0.1170  0.5013  3 Si 2.40-2.48, 1 Au 2.46
Si  0.8685  0.9983  0.1997  3 Si 2.41-2.47, 1 Au 2.49
Si  0.4435  0.8806  0.5011  4 Si 2.41-2.48
Si  0.6328  0.9984  0.8044  3 Si 2.40-2.45, 1 Au 2.49
Si  0.7500  0.3049  0.6200  4 Si 2.41-2.50
Si  0.7500  0.6923  0.3838  3 Si 2.41-2.45, 1 Au 2.47
Si  0.2500  0.7502  0.4999  4 Si 2.44-2.46
Si  0.7500  0.4999  0.7502  4 Si 2.44-2.46
Au  0.5000  0.0014  0.0014  4 Si 2.49
Au  0.2500  0.2494  0.4990  4 Si 2.46-2.47
Au  0.7500  0.4990  0.2494  4 Si 2.46-2.47
Au  0.0000  0.0014  0.0014  4 Si 2.49

Calculated values
**Fermi-level density of states**: 0.2420 states/eV/atom

Here is BaSiAu2 after structural relaxation from the Alexandria database. Energies are from PBE.

Lattice parameters (Å, degrees): 3.5168 3.5168 7.5743 90.00 90.00 90.08
Last column: nearest neighbours and their distance in Å.
Element x y z (fractional)
Au  0.0000  0.0000  0.9387  1 Au 2.86, 4 Si 2.87
Au  0.0000  0.0000  0.5613  1 Au 2.86, 4 Si 2.87
Ba  0.5000  0.5000  0.2500  8 Au 3.43, 4 Ba 3.52, 2 Si 3.79
Si  0.5000  0.5000  0.7500  8 Au 2.87

Calculated values
**Fermi-level density of states**: 0.5267 states/eV/atom

Here is BaSi3Au7 after structural relaxation from the Alexandria database. Energies are from PBE.

Lattice parameters (Å, degrees): 8.4330 8.4330 8.5782 60.56 60.56 60.00
Last column: nearest neighbours and their distance in Å.
Element x y z (fractional)
Ba  0.5000  0.5000  0.5000  6 Si 3.34, 12 Au 3.43-3.44
Ba  0.0000  0.0000  0.0000  6 Si 3.34, 12 Au 3.43-3.44
Si  0.4219  0.0781  0.7500  7 Au 2.56-2.81
Si  0.0781  0.7500  0.7500  7 Au 2.56-2.81
Si  0.7500  0.4219  0.7500  7 Au 2.56-2.81
Si  0.5781  0.9219  0.2500  7 Au 2.56-2.81
Si  0.9219  0.2500  0.2500  7 Au 2.56-2.81
Si  0.2500  0.5781  0.2500  7 Au 2.56-2.81
Au  0.6562  0.0798  0.4157  3 Si 2.56-2.81
Au  0.0798  0.8484  0.4157  3 Si 2.56-2.81
Au  0.8484  0.6562  0.4157  3 Si 2.56-2.81
Au  0.8438  0.6516  0.0843  3 Si 2.56-2.81
Au  0.4202  0.8438  0.0843  3 Si 2.56-2.81
Au  0.6516  0.4202  0.0843  3 Si 2.56-2.81
Au  0.3438  0.9202  0.5843  3 Si 2.56-2.81
Au  0.9202  0.1516  0.5843  3 Si 2.56-2.81
Au  0.1516  0.3438  0.5843  3 Si 2.56-2.81
Au  0.1562  0.3484  0.9157  3 Si 2.56-2.81
Au  0.5798  0.1562  0.9157  3 Si 2.56-2.81
Au  0.3484  0.5798  0.9157  3 Si 2.56-2.81
Au  0.7500  0.7500  0.7500  3 Si 2.77, 6 Au 2.96
Au  0.2500  0.2500  0.2500  3 Si 2.77, 6 Au 2.96

Calculated values
**Fermi-level density of states**: 0.5055 states/eV/atom

Here is BaSiAu3 after structural relaxation from the Alexandria database. Energies are from PBE.

Lattice parameters (Å, degrees): 5.1574 5.1574 12.1141 77.71 77.71 90.00
Last column: nearest neighbours and their distance in Å.
Element x y z (fractional)
Si  0.6939  0.1939  0.6122  1 Si 2.59, 2 Au 2.68
Si  0.8061  0.3061  0.3878  1 Si 2.59, 2 Au 2.68
Au  0.6271  0.8766  0.2468  2 Au 2.57-2.58
Au  0.1234  0.3729  0.7532  2 Au 2.57-2.58
Au  0.1234  0.8739  0.7532  2 Au 2.57-2.58
Au  0.1261  0.8766  0.2468  2 Au 2.57-2.58
Au  0.3376  0.3376  0.3247  2 Si 2.68
Au  0.6624  0.6624  0.6753  2 Si 2.68
Ba  0.0000  0.0000  0.0000  4 Au 3.13
Ba  0.2500  0.7500  0.5000  8 Au 3.20-3.28

Calculated values
**E above lowest polymorph**: 504 meV/atom
**Fermi-level density of states**: 0.3731 states/eV/atom

no.,DFT total energy (eV/atom)
1,-4.99
2,-3.58
3,-3.82
4,-3.48